Here is La3InCo at its PBEsol-relaxed geometry from Alexandria via LeMat-Bulk. Energies are from SCAN.

Summary:
The value obtained for the energy relative to the lowest polymorph listed for this composition is 0 meV/atom. The calculation puts the formation energy from the elements at -0.3431 eV/atom.

Unit cell a=5.222 b=5.222 c=5.222 alpha=90.00 beta=90.00 gamma=90.00
Space group Pm-3m (No. 221)
One atom of each set of equivalent atoms:
La1 0.000 0.000 0.500 x3
In1 0.500 0.500 0.500 x1
Co1 0.000 0.000 0.000 x1